Record 1
DFT (PBE) results for a geometry-optimized NaLa2TmTe4 structure.

## Properties
The value obtained for the calculated total energy is -4.9290 eV/atom. The calculated volume comes out at 32.12 Å³/atom. The crystal system is monoclinic.

a b c (Å): 7.7659 4.4769 7.8240
angles (deg): 90.00 109.16 90.00
Sites, in units of the cell vectors:
1 Na 0.0000 0.0000 0.0000
2 La 0.5000 0.0000 0.5000
3 La 0.5000 0.5000 0.0000
4 Tm 0.0000 0.5000 0.5000
5 Te 0.2318 0.0000 0.7403
6 Te 0.2368 0.5000 0.2516
7 Te 0.7632 0.5000 0.7484
8 Te 0.7682 0.0000 0.2597



Record 2
DFT (PBE) results for a geometry-optimized CuAsP2 structure.

## Properties
The formation energy comes out at 49.5 kJ/mol of atoms. The calculated volume comes out at 15.30 Å³/atom. The crystal system is tetragonal.

a b c (Å): 4.7816 4.7816 2.6771
angles (deg): 90.00 90.00 90.00
Sites, in units of the cell vectors:
1 Cu 0.0000 0.0000 0.0000
2 As 0.5000 0.5000 0.0000
3 P 0.0000 0.5000 0.5000
4 P 0.5000 0.0000 0.5000



Record 3
DFT (PBE) results for a geometry-optimized Pu2C structure.

## Properties
The formation energy comes out at 6.5 kJ/mol of atoms. The calculated volume comes out at 20.35 Å³/atom. The crystal system is monoclinic.

a b c (Å): 3.4253 3.4253 6.3222
angles (deg): 105.63 105.63 60.02
Sites, in units of the cell vectors:
1 Pu 0.2459 0.2459 0.2390
2 Pu 0.7541 0.7541 0.7610
3 C 0.5000 0.5000 0.0000